Mg14MnCuO16 | PBE with a Hubbard U | optimized geometry

Cell: 4.2607 8.5432 8.5636 Å, 90.00 90.00 90.00°
Site moments in Bohr magnetons follow the coordinates.
Sites, in units of the cell vectors:
Mg1 0.0000 0.7476 0.2505  0.00
Mg2 0.5000 0.5000 0.2483  0.00
Mg3 0.5000 0.2547 0.0000  0.00
Mg4 0.0000 0.2524 0.2505  0.00
Mg5 0.0000 0.7476 0.7495  0.00
Mg6 0.0000 0.2524 0.7495  0.00
Mg7 0.5000 0.2511 0.5000  0.00
Mg8 0.0000 0.5000 0.5000  0.00
Mg9 0.5000 0.0000 0.7471  0.00
Mg10 0.5000 0.0000 0.2529  0.00
Mg11 0.5000 0.7489 0.5000  0.00
Mg12 0.5000 0.7453 0.0000  0.00
Mg13 0.0000 0.0000 0.5000  0.00
Mg14 0.5000 0.5000 0.7517  0.00
O1 0.0000 0.7499 0.5000  0.00
O2 0.0000 0.0000 0.7441  -0.03
O3 0.0000 0.0000 0.2559  -0.03
O4 0.0000 0.5000 0.7443  0.04
O5 0.5000 0.0000 0.0000  -0.01
O6 0.0000 0.7563 0.0000  0.03
O7 0.0000 0.2501 0.5000  0.00
O8 0.0000 0.2437 0.0000  0.03
O9 0.5000 0.5000 0.5000  0.00
O10 0.5000 0.5000 0.0000  0.07
O11 0.5000 0.2499 0.2488  0.00
O12 0.5000 0.0000 0.5000  0.00
O13 0.0000 0.5000 0.2557  0.04
O14 0.5000 0.2499 0.7512  0.00
O15 0.5000 0.7501 0.7512  0.00
O16 0.5000 0.7501 0.2488  0.00
Cu1 0.0000 0.5000 0.0000  0.45
Mn1 0.0000 0.0000 0.0000  -4.40

total magnetization = 3.99 μB per formula unit
distance to the lowest polymorph of the same formula = 0 meV per atom
D(E_F) = 0.080 states/eV/atom